KZrAgTe2S | PBE-GGA | relaxed

## Properties
- Final energy: -4.67 eV/atom

Cell: 8.082 8.082 10.466 Å, 90.00 90.00 150.11°
Atoms (fractional coordinates):
1 K 0.242 0.758 0.750
2 K 0.758 0.242 0.250
3 Zr 0.500 0.500 0.000
4 Zr 0.500 0.500 0.500
5 Ag 0.037 0.963 0.250
6 Ag 0.963 0.037 0.750
7 Te 0.134 0.866 0.032
8 Te 0.134 0.866 0.468
9 Te 0.866 0.134 0.532
10 Te 0.866 0.134 0.968
11 S 0.446 0.554 0.250
12 S 0.554 0.446 0.750

KTmAgS3 | PBE-GGA | relaxed

## Properties
- Final energy: -4.60 eV/atom

Cell: 7.521 7.521 10.331 Å, 90.00 90.00 149.35°
Atoms (fractional coordinates):
1 K 0.248 0.752 0.750
2 K 0.752 0.248 0.250
3 Tm 0.500 0.500 0.000
4 Tm 0.500 0.500 0.500
5 Ag 0.034 0.966 0.250
6 Ag 0.966 0.034 0.750
7 S 0.124 0.876 0.047
8 S 0.124 0.876 0.453
9 S 0.428 0.572 0.250
10 S 0.572 0.428 0.750
11 S 0.876 0.124 0.547
12 S 0.876 0.124 0.953

KAgWS3 | PBE-GGA | relaxed

## Properties
- Final energy: -5.22 eV/atom

Cell: 7.655 7.655 9.855 Å, 90.00 90.00 153.39°
Atoms (fractional coordinates):
1 K 0.242 0.758 0.750
2 K 0.758 0.242 0.250
3 Ag 0.061 0.939 0.250
4 Ag 0.939 0.061 0.750
5 W 0.500 0.500 0.000
6 W 0.500 0.500 0.500
7 S 0.118 0.882 0.021
8 S 0.118 0.882 0.479
9 S 0.437 0.563 0.250
10 S 0.563 0.437 0.750
11 S 0.882 0.118 0.521
12 S 0.882 0.118 0.979

KZrAgS3 | PBE-GGA | relaxed

## Properties
- Final energy: -5.18 eV/atom

Cell: 7.532 4.183 16.397 Å, 90.00 90.00 90.00°
Atoms (fractional coordinates):
1 K 0.115 0.250 0.184
2 K 0.385 0.750 0.684
3 K 0.615 0.250 0.316
4 K 0.885 0.750 0.816
5 Zr 0.245 0.250 0.957
6 Zr 0.255 0.750 0.457
7 Zr 0.745 0.250 0.543
8 Zr 0.755 0.750 0.043
9 Ag 0.036 0.250 0.671
10 Ag 0.464 0.750 0.171
11 Ag 0.536 0.250 0.829
12 Ag 0.964 0.750 0.329
13 S 0.004 0.250 0.425
14 S 0.125 0.750 0.035
15 S 0.192 0.250 0.807
16 S 0.308 0.750 0.307
17 S 0.375 0.250 0.535
18 S 0.496 0.750 0.925
19 S 0.504 0.250 0.075
20 S 0.625 0.750 0.465
21 S 0.692 0.250 0.693
22 S 0.808 0.750 0.193
23 S 0.875 0.250 0.965
24 S 0.996 0.750 0.575

KZrAgS3 | PBE-GGA | relaxed

## Properties
- Final energy: -5.20 eV/atom

Cell: 11.875 3.880 12.089 Å, 90.00 90.00 90.00°
Atoms (fractional coordinates):
1 K 0.149 0.250 0.012
2 K 0.351 0.750 0.512
3 K 0.649 0.250 0.488
4 K 0.851 0.750 0.988
5 Zr 0.047 0.250 0.341
6 Zr 0.453 0.750 0.841
7 Zr 0.547 0.250 0.159
8 Zr 0.953 0.750 0.659
9 Ag 0.235 0.250 0.712
10 Ag 0.265 0.750 0.212
11 Ag 0.735 0.250 0.788
12 Ag 0.765 0.750 0.288
13 S 0.039 0.750 0.191
14 S 0.078 0.250 0.571
15 S 0.250 0.250 0.350
16 S 0.250 0.750 0.850
17 S 0.422 0.750 0.071
18 S 0.461 0.250 0.691
19 S 0.539 0.750 0.309
20 S 0.578 0.250 0.929
21 S 0.750 0.250 0.150
22 S 0.750 0.750 0.650
23 S 0.922 0.750 0.429
24 S 0.961 0.250 0.809

KZrAgS3 | PBE-GGA | relaxed

## Properties
- Final energy: -5.28 eV/atom

Cell: 10.676 3.800 14.329 Å, 90.00 90.00 90.00°
Atoms (fractional coordinates):
1 K 0.234 0.250 0.001
2 K 0.266 0.750 0.501
3 K 0.734 0.250 0.499
4 K 0.766 0.750 0.999
5 Zr 0.015 0.250 0.265
6 Zr 0.485 0.750 0.765
7 Zr 0.515 0.250 0.235
8 Zr 0.985 0.750 0.735
9 Ag 0.241 0.750 0.211
10 Ag 0.259 0.250 0.711
11 Ag 0.741 0.750 0.289
12 Ag 0.759 0.250 0.789
13 S 0.026 0.750 0.139
14 S 0.061 0.250 0.623
15 S 0.225 0.250 0.329
16 S 0.275 0.750 0.829
17 S 0.439 0.750 0.123
18 S 0.474 0.250 0.639
19 S 0.526 0.750 0.361
20 S 0.561 0.250 0.877
21 S 0.725 0.250 0.171
22 S 0.775 0.750 0.671
23 S 0.939 0.750 0.377
24 S 0.974 0.250 0.861

KZrAgS3 | PBE-GGA | relaxed

## Properties
- Final energy: -5.27 eV/atom

Cell: 7.452 7.452 10.148 Å, 90.00 90.00 150.01°
Atoms (fractional coordinates):
1 K 0.242 0.758 0.750
2 K 0.758 0.242 0.250
3 Zr 0.500 0.500 0.000
4 Zr 0.500 0.500 0.500
5 Ag 0.049 0.951 0.250
6 Ag 0.951 0.049 0.750
7 S 0.123 0.877 0.032
8 S 0.123 0.877 0.468
9 S 0.436 0.564 0.250
10 S 0.564 0.436 0.750
11 S 0.877 0.123 0.532
12 S 0.877 0.123 0.968

K5AgSb2 | PBE-GGA | relaxed

## Properties
- Final energy: -2.48 eV/atom

Cell: 10.302 10.302 10.302 Å, 33.86 33.86 33.86°
Atoms (fractional coordinates):
1 K 0.000 0.000 0.000
2 K 0.130 0.130 0.130
3 K 0.282 0.282 0.282
4 K 0.718 0.718 0.718
5 K 0.870 0.870 0.870
6 Ag 0.500 0.500 0.500
7 Sb 0.407 0.407 0.407
8 Sb 0.593 0.593 0.593

KAgSb | PBE-GGA | relaxed

## Properties
- Polymorph energy (0 for the lowest one): 0 meV/atom

Cell: 4.693 4.693 10.531 Å, 90.00 90.00 120.00°
Atoms (fractional coordinates):
1 K 0.000 0.000 0.000
2 K 0.000 0.000 0.500
3 Ag 0.333 0.667 0.250
4 Ag 0.667 0.333 0.750
5 Sb 0.333 0.667 0.750
6 Sb 0.667 0.333 0.250

KScAgTe3 | PBE-GGA | relaxed

## Properties
- Final energy: -4.10 eV/atom

Cell: 8.426 8.426 11.080 Å, 90.00 90.00 151.80°
Atoms (fractional coordinates):
1 K 0.239 0.761 0.750
2 K 0.761 0.239 0.250
3 Sc 0.000 0.000 0.000
4 Sc 0.000 0.000 0.500
5 Ag 0.461 0.539 0.250
6 Ag 0.539 0.461 0.750
7 Te 0.077 0.923 0.250
8 Te 0.373 0.627 0.038
9 Te 0.373 0.627 0.462
10 Te 0.627 0.373 0.538
11 Te 0.627 0.373 0.962
12 Te 0.923 0.077 0.750

KScAgTe3 | PBE-GGA | relaxed

## Properties
- Final energy: -4.12 eV/atom

Cell: 16.357 4.155 11.263 Å, 90.00 90.00 90.00°
Atoms (fractional coordinates):
1 K 0.228 0.250 0.050
2 K 0.272 0.750 0.550
3 K 0.728 0.250 0.450
4 K 0.772 0.750 0.950
5 Sc 0.016 0.250 0.339
6 Sc 0.484 0.750 0.839
7 Sc 0.516 0.250 0.161
8 Sc 0.984 0.750 0.661
9 Ag 0.018 0.750 0.092
10 Ag 0.482 0.250 0.592
11 Ag 0.518 0.750 0.408
12 Ag 0.982 0.250 0.908
13 Te 0.097 0.250 0.573
14 Te 0.097 0.750 0.863
15 Te 0.134 0.750 0.274
16 Te 0.366 0.250 0.774
17 Te 0.403 0.250 0.363
18 Te 0.403 0.750 0.073
19 Te 0.597 0.250 0.927
20 Te 0.597 0.750 0.637
21 Te 0.634 0.750 0.226
22 Te 0.866 0.250 0.726
23 Te 0.903 0.250 0.137
24 Te 0.903 0.750 0.427

K3AgSe9 | PBE-GGA | relaxed

## Properties
- Final energy: -3.38 eV/atom

Cell: 11.324 9.877 14.751 Å, 90.00 90.57 90.00°
Atoms (fractional coordinates):
1 K 0.119 0.096 0.105
2 K 0.119 0.404 0.605
3 K 0.309 0.099 0.819
4 K 0.309 0.401 0.319
5 K 0.329 0.610 0.842
6 K 0.329 0.890 0.342
7 K 0.671 0.110 0.658
8 K 0.671 0.390 0.158
9 K 0.691 0.599 0.681
10 K 0.691 0.901 0.181
11 K 0.881 0.596 0.395
12 K 0.881 0.904 0.895
13 Ag 0.040 0.618 0.924
14 Ag 0.040 0.882 0.424
15 Ag 0.960 0.118 0.576
16 Ag 0.960 0.382 0.076
17 Se 0.019 0.123 0.752
18 Se 0.019 0.377 0.252
19 Se 0.072 0.683 0.179
20 Se 0.072 0.817 0.679
21 Se 0.145 0.128 0.459
22 Se 0.145 0.372 0.959
23 Se 0.175 0.660 0.459
24 Se 0.175 0.840 0.959
25 Se 0.244 0.739 0.604
26 Se 0.244 0.761 0.104
27 Se 0.321 0.073 0.548
28 Se 0.321 0.427 0.048
29 Se 0.424 0.073 0.126
30 Se 0.424 0.427 0.626
31 Se 0.456 0.249 0.016
32 Se 0.456 0.251 0.516
33 Se 0.493 0.644 0.234
34 Se 0.493 0.856 0.734
35 Se 0.507 0.144 0.266
36 Se 0.507 0.356 0.766
37 Se 0.544 0.749 0.484
38 Se 0.544 0.751 0.984
39 Se 0.576 0.573 0.374
40 Se 0.576 0.927 0.874
41 Se 0.679 0.573 0.952
42 Se 0.679 0.927 0.452
43 Se 0.756 0.239 0.896
44 Se 0.756 0.261 0.396
45 Se 0.825 0.160 0.041
46 Se 0.825 0.340 0.541
47 Se 0.855 0.628 0.041
48 Se 0.855 0.872 0.541
49 Se 0.928 0.183 0.321
50 Se 0.928 0.317 0.821
51 Se 0.981 0.623 0.748
52 Se 0.981 0.877 0.248